No. 1
## La6GeRu2Cl3 (PBE)

Data for La6GeRu2Cl3 after structural relaxation.

## Properties
**Density of states at the Fermi level**: 9.1 states/eV/f.u.
**ρ**: 5.765 g/cm³
**ΔE_f (raw)**: -107.2 kJ/mol of atoms

```
data_La6GeRu2Cl3
_chemical_formula_sum 'La12 Ge2 Ru4 Cl6'
_cell_length_a 7.345
_cell_length_b 12.738
_cell_length_c 7.881
_cell_angle_alpha 90.00
_cell_angle_beta 108.40
_cell_angle_gamma 90.00
_symmetry_space_group_name_H-M 'C 1 2/m 1'
_symmetry_Int_Tables_number 12
loop_
_symmetry_equiv_pos_as_xyz
'x,y,z'
'-x,-y,-z'
'-x,y,-z'
'x,-y,z'
'x+1/2,y+1/2,z'
'-x+1/2,-y+1/2,-z'
'-x+1/2,y+1/2,-z'
'x+1/2,-y+1/2,z'
loop_
_atom_site_label
_atom_site_fract_x
_atom_site_fract_y
_atom_site_fract_z
La1 0.216 0.000 0.211
La2 0.244 0.323 0.210
Ge1 0.000 0.500 0.000
Ru1 0.000 0.167 0.000
Cl1 0.000 0.000 0.500
Cl2 0.000 0.336 0.500
```

---

No. 2
## La6Ge2S3Cl (PBE)

Data for La6Ge2S3Cl after structural relaxation.

## Properties
**Density of states at the Fermi level**: 4.9 states/eV/f.u.
**ρ**: 5.588 g/cm³
**ΔE_f (raw)**: -160.9 kJ/mol of atoms

```
data_La6Ge2S3Cl
_chemical_formula_sum 'La12 Ge4 S6 Cl2'
_cell_length_a 18.556
_cell_length_b 4.276
_cell_length_c 8.534
_cell_angle_alpha 90.00
_cell_angle_beta 102.96
_cell_angle_gamma 90.00
_symmetry_space_group_name_H-M 'C 1 2/m 1'
_symmetry_Int_Tables_number 12
loop_
_symmetry_equiv_pos_as_xyz
'x,y,z'
'-x,-y,-z'
'-x,y,-z'
'x,-y,z'
'x+1/2,y+1/2,z'
'-x+1/2,-y+1/2,-z'
'-x+1/2,y+1/2,-z'
'x+1/2,-y+1/2,z'
loop_
_atom_site_label
_atom_site_fract_x
_atom_site_fract_y
_atom_site_fract_z
La1 0.001 0.000 0.232
La2 0.167 0.500 0.085
La3 0.171 0.500 0.585
Ge1 0.163 0.000 0.827
S1 0.000 0.500 0.000
S2 0.166 0.000 0.335
Cl1 0.000 0.500 0.500
```

---

No. 3
## La6GeS2Cl3 (PBE)

Data for La6GeS2Cl3 after structural relaxation.

## Properties
**Density of states at the Fermi level**: 6.4 states/eV/f.u.
**ρ**: 5.590 g/cm³
**ΔE_f (raw)**: -165.6 kJ/mol of atoms

```
data_La6GeS2Cl3
_chemical_formula_sum 'La12 Ge2 S4 Cl6'
_cell_length_a 7.295
_cell_length_b 12.657
_cell_length_c 7.345
_cell_angle_alpha 90.00
_cell_angle_beta 109.43
_cell_angle_gamma 90.00
_symmetry_space_group_name_H-M 'C 1 2/m 1'
_symmetry_Int_Tables_number 12
loop_
_symmetry_equiv_pos_as_xyz
'x,y,z'
'-x,-y,-z'
'-x,y,-z'
'x,-y,z'
'x+1/2,y+1/2,z'
'-x+1/2,-y+1/2,-z'
'-x+1/2,y+1/2,-z'
'x+1/2,-y+1/2,z'
loop_
_atom_site_label
_atom_site_fract_x
_atom_site_fract_y
_atom_site_fract_z
La1 0.234 0.000 0.228
La2 0.248 0.330 0.231
Ge1 0.000 0.500 0.000
S1 0.000 0.168 0.000
Cl1 0.000 0.000 0.500
Cl2 0.000 0.341 0.500
```

---

No. 4
## LaGeSCl2 (PBE)

Data for LaGeSCl2 after structural relaxation.

## Properties
**Density of states at the Fermi level**: 5.8 states/eV/f.u.
**ρ**: 4.087 g/cm³
**ΔE_f (raw)**: -79.2 kJ/mol of atoms

```
data_LaGeSCl2
_chemical_formula_sum 'La1 Ge1 S1 Cl2'
_cell_length_a 4.986
_cell_length_b 4.986
_cell_length_c 5.141
_cell_angle_alpha 90.00
_cell_angle_beta 90.00
_cell_angle_gamma 90.00
_symmetry_space_group_name_H-M 'P 4/m m m'
_symmetry_Int_Tables_number 123
_symmetry_space_group_name_Hall '-P 4 2'
loop_
_atom_site_label
_atom_site_fract_x
_atom_site_fract_y
_atom_site_fract_z
La1 0.000 0.000 0.000
Ge1 0.500 0.500 0.500
S1 0.500 0.500 0.000
Cl1 0.000 0.500 0.500
```

---

No. 5
## La6Ge3S2Cl (PBE)

Data for La6Ge3S2Cl after structural relaxation.

## Properties
**Density of states at the Fermi level**: 3.0 states/eV/f.u.
**ρ**: 5.576 g/cm³
**ΔE_f (raw)**: -140.5 kJ/mol of atoms

```
data_La6Ge3S2Cl
_chemical_formula_sum 'La12 Ge6 S4 Cl2'
_cell_length_a 18.721
_cell_length_b 4.357
_cell_length_c 8.584
_cell_angle_alpha 90.00
_cell_angle_beta 101.77
_cell_angle_gamma 90.00
_symmetry_space_group_name_H-M 'C 1 2/m 1'
_symmetry_Int_Tables_number 12
loop_
_symmetry_equiv_pos_as_xyz
'x,y,z'
'-x,-y,-z'
'-x,y,-z'
'x,-y,z'
'x+1/2,y+1/2,z'
'-x+1/2,-y+1/2,-z'
'-x+1/2,y+1/2,-z'
'x+1/2,-y+1/2,z'
loop_
_atom_site_label
_atom_site_fract_x
_atom_site_fract_y
_atom_site_fract_z
La1 0.001 0.000 0.261
La2 0.167 0.500 0.584
La3 0.171 0.500 0.087
Ge1 0.000 0.500 0.500
Ge2 0.164 0.000 0.835
S1 0.167 0.000 0.334
Cl1 0.000 0.500 0.000
```

---

No. 6
## LaGeSCl2 (PBE)

Data for LaGeSCl2 after structural relaxation.

## Properties
**Density of states at the Fermi level**: 3.1 states/eV/f.u.
**ρ**: 3.073 g/cm³
**ΔE_f (raw)**: -91.7 kJ/mol of atoms

```
data_LaGeSCl2
_chemical_formula_sum 'La1 Ge1 S1 Cl2'
_cell_length_a 5.492
_cell_length_b 5.492
_cell_length_c 5.635
_cell_angle_alpha 90.00
_cell_angle_beta 90.00
_cell_angle_gamma 90.00
_symmetry_space_group_name_H-M 'P 4/m m m'
_symmetry_Int_Tables_number 123
_symmetry_space_group_name_Hall '-P 4 2'
loop_
_atom_site_label
_atom_site_fract_x
_atom_site_fract_y
_atom_site_fract_z
La1 0.000 0.000 0.000
Ge1 0.500 0.500 0.500
S1 0.000 0.000 0.500
Cl1 0.000 0.500 0.000
```